(A)
Below is CaOsRu2 after structural relaxation, with properties calculated at the GGA-PBEsol level.

Results
**N(E_F)**: 6.01 states/eV/cell

Lattice parameters (Å, degrees): 4.4230 4.4230 4.4230 119.91 119.91 90.15
Positions (direct):
Ca 0.0000 0.0000 0.0000
Os 0.5000 0.5000 0.0000
Ru 0.2500 0.7500 0.5000
Ru 0.7500 0.2500 0.5000



(B)
Below is CaOsRu2 after structural relaxation, with properties calculated at the GGA-PBEsol level.

Results
**N(E_F)**: 4.25 states/eV/cell

Lattice parameters (Å, degrees): 4.4353 4.4353 4.4353 60.00 60.00 60.00
Positions (direct):
Ca 0.0000 0.0000 0.0000
Os 0.7500 0.7500 0.7500
Ru 0.2500 0.2500 0.2500
Ru 0.5000 0.5000 0.5000



Short version: (B) is the least stable of them.



(A)
Below is CaSb2Os after structural relaxation, with properties calculated at the GGA-PBEsol level.

Results
**N(E_F)**: 1.65 states/eV/cell

Lattice parameters (Å, degrees): 7.8515 7.8515 7.8515 155.18 152.69 37.24
Positions (direct):
Ca 0.0000 0.0000 0.0000
Sb 0.1731 0.6731 0.5000
Sb 0.3746 0.3746 0.0000
Os 0.7489 0.2489 0.5000



(B)
Below is CaSb2Os after structural relaxation, with properties calculated at the GGA-PBEsol level.

Results
**N(E_F)**: 1.63 states/eV/cell

Lattice parameters (Å, degrees): 6.4494 6.4494 6.4494 150.88 132.09 57.05
Positions (direct):
Ca 0.0000 0.0000 0.0000
Sb 0.3150 0.8150 0.5000
Sb 0.6850 0.1850 0.5000
Os 0.5000 0.5000 0.0000



Short version: (B) is the least stable of them.



(A)
Below is CaOsSe after structural relaxation, with properties calculated at the GGA-PBEsol level.

Results
**N(E_F)**: 0.68 states/eV/cell

Lattice parameters (Å, degrees): 6.1355 6.1355 6.1355 150.47 150.47 42.25
Positions (direct):
Ca 0.0000 0.0000 0.0000
Os 0.6868 0.6868 0.0000
Se 0.2969 0.2969 0.0000



(B)
Below is CaOsSe after structural relaxation, with properties calculated at the GGA-PBEsol level.

Results
**N(E_F)**: 2.22 states/eV/cell

Lattice parameters (Å, degrees): 4.1181 4.1181 4.2548 90.00 90.00 120.00
Positions (direct):
Ca 0.0000 0.0000 0.0000
Os 0.3333 0.6667 0.5000
Se 0.6667 0.3333 0.5000



Short version: (A) is the least stable of them.



(A)
Below is SrCa2Os after structural relaxation, with properties calculated at the GGA-PBEsol level.

Results
**N(E_F)**: 3.45 states/eV/cell

Lattice parameters (Å, degrees): 11.2177 11.2177 11.2177 18.28 18.28 18.28
Positions (direct):
Sr 0.0000 0.0000 0.0000
Ca 0.2262 0.2262 0.2262
Ca 0.7738 0.7738 0.7738
Os 0.5000 0.5000 0.5000



(B)
Below is SrCa2Os after structural relaxation, with properties calculated at the GGA-PBEsol level.

Results
**N(E_F)**: 5.10 states/eV/cell

Lattice parameters (Å, degrees): 6.1858 6.1858 3.3338 101.95 101.95 117.52
Positions (direct):
Sr 0.0000 0.0000 0.0000
Ca 0.0000 0.5000 0.5000
Ca 0.5000 0.0000 0.5000
Os 0.5000 0.5000 0.0000



Short version: (B) is the least stable of them.



(A)
Below is CaTc2Os after structural relaxation, with properties calculated at the GGA-PBEsol level.

Results
**N(E_F)**: 4.26 states/eV/cell

Lattice parameters (Å, degrees): 2.7214 2.7214 9.3321 90.00 90.00 114.22
Positions (direct):
Ca 0.0000 0.0000 0.0000
Tc 0.0000 0.0000 0.4994
Tc 0.5000 0.5000 0.2738
Os 0.5000 0.5000 0.7337



(B)
Below is CaTc2Os after structural relaxation, with properties calculated at the GGA-PBEsol level.

Results
**N(E_F)**: 3.81 states/eV/cell

Lattice parameters (Å, degrees): 3.0218 4.5286 4.5576 90.00 90.00 90.00
Positions (direct):
Ca 0.0000 0.0000 0.0000
Tc 0.0000 0.5000 0.5000
Tc 0.5000 0.0000 0.5000
Os 0.5000 0.5000 0.0000



Short version: (B) is the least stable of them.



(A)
Below is CaTc2Os after structural relaxation, with properties calculated at the GGA-PBEsol level.

Results
**N(E_F)**: 5.13 states/eV/cell

Lattice parameters (Å, degrees): 2.7862 2.7862 8.4440 90.00 90.00 90.00
Positions (direct):
Ca 0.0000 0.0000 0.0000
Tc 0.0000 0.0000 0.4813
Tc 0.5000 0.5000 0.7029
Os 0.5000 0.5000 0.2805



(B)
Below is CaTc2Os after structural relaxation, with properties calculated at the GGA-PBEsol level.

Results
**N(E_F)**: 4.50 states/eV/cell

Lattice parameters (Å, degrees): 5.2157 5.2157 4.8809 105.90 105.90 31.60
Positions (direct):
Ca 0.0000 0.0000 0.0000
Tc 0.2194 0.2194 0.6987
Tc 0.7806 0.7806 0.3013
Os 0.5000 0.5000 0.5000



Short version: (B) is the least stable of them.



(A)
Below is CaY2Os after structural relaxation, with properties calculated at the GGA-PBEsol level.

Results
**N(E_F)**: 4.41 states/eV/cell

Lattice parameters (Å, degrees): 3.6362 3.7989 7.8162 90.00 90.00 90.00
Positions (direct):
Ca 0.0000 0.0000 0.0000
Y 0.0000 0.0000 0.3907
Y 0.5000 0.5000 0.6466
Os 0.5000 0.5000 0.2660



(B)
Below is CaY2Os after structural relaxation, with properties calculated at the GGA-PBEsol level.

Results
**N(E_F)**: 2.67 states/eV/cell

Lattice parameters (Å, degrees): 3.3922 3.3922 9.5105 90.00 90.00 90.00
Positions (direct):
Ca 0.0000 0.0000 0.0000
Y 0.5000 0.5000 0.3288
Y 0.5000 0.5000 0.6712
Os 0.0000 0.0000 0.5000



Short version: (A) is the least stable of them.



(A)
Below is Ca3P after structural relaxation, with properties calculated at the GGA-PBEsol level.

Results
**N(E_F)**: 6.25 states/eV/cell

Lattice parameters (Å, degrees): 3.8996 6.7309 9.4889 90.00 90.00 90.00
Positions (direct):
Ca 0.2500 0.0118 0.1744
Ca 0.2500 0.2500 0.5383
Ca 0.2500 0.4882 0.1744
Ca 0.7500 0.5118 0.8256
Ca 0.7500 0.7500 0.4617
Ca 0.7500 0.9882 0.8256
P 0.2500 0.7500 0.6751
P 0.7500 0.2500 0.3249



(B)
Below is Ca3P after structural relaxation, with properties calculated at the GGA-PBEsol level.

Results
**N(E_F)**: 12.93 states/eV/cell

Lattice parameters (Å, degrees): 7.4480 9.6616 6.5978 90.00 90.00 90.00
Positions (direct):
Ca 0.0459 0.2500 0.1548
Ca 0.1741 0.0690 0.6744
Ca 0.1741 0.4310 0.6744
Ca 0.3259 0.5690 0.1744
Ca 0.3259 0.9310 0.1744
Ca 0.4541 0.7500 0.6548
Ca 0.5459 0.2500 0.3452
Ca 0.6741 0.0690 0.8256
Ca 0.6741 0.4310 0.8256
Ca 0.8259 0.5690 0.3256
Ca 0.8259 0.9310 0.3256
Ca 0.9541 0.7500 0.8452
P 0.1186 0.7500 0.4425
P 0.3814 0.2500 0.9425
P 0.6186 0.7500 0.0575
P 0.8814 0.2500 0.5575



Short version: (A) is the least stable of them.